# Yb2C (PBE, optimized geometry)
data_Yb2C
_chemical_formula_sum 'Yb6 C3'
_cell_length_a 3.6587
_cell_length_b 3.6587
_cell_length_c 18.8522
_cell_angle_alpha 90.00
_cell_angle_beta 90.00
_cell_angle_gamma 120.00
_space_group_name_H-M_alt 'R -3 m'
_space_group_IT_number 166
_space_group_name_Hall '-R 3 2"'
loop_
_atom_site_label
_atom_site_fract_x
_atom_site_fract_y
_atom_site_fract_z
Yb1 0.0000 0.0000 0.2361
C1 0.0000 0.0000 0.5000
# Final energy, eV/atom: -4.0446
# Mass density, g/cm3: 8.16
# Formation energy from the elements, kJ/mol of formula units: 14